a) This record from the Alexandria database describes a geometry-optimized NbHNF2 structure. The functional is PBE.

Structure (CIF):
```
data_NbHNF2
_cell_length_a 3.0717
_cell_length_b 3.0717
_cell_length_c 4.5660
_cell_angle_alpha 90.00
_cell_angle_beta 90.00
_cell_angle_gamma 90.00
_symmetry_space_group_name_H-M 'P 4/m m m'
_symmetry_Int_Tables_number 123
_symmetry_space_group_name_Hall '-P 4 2'
loop_
_atom_site_label
_atom_site_type_symbol
_atom_site_fract_x
_atom_site_fract_y
_atom_site_fract_z
_atom_site_occupancy
Nb1 Nb 0.0000 0.0000 0.0000 1
H1 H 0.5000 0.5000 0.5000 1
N1 N 0.5000 0.5000 0.0000 1
F1 F 0.0000 0.5000 0.5000 1
```



b) This record from the Alexandria database describes a geometry-optimized NbHNF2 structure. The functional is PBE.

Structure (CIF):
```
data_NbHNF2
_cell_length_a 4.1677
_cell_length_b 4.1677
_cell_length_c 3.9071
_cell_angle_alpha 90.00
_cell_angle_beta 90.00
_cell_angle_gamma 90.00
_symmetry_space_group_name_H-M 'P 4/m m m'
_symmetry_Int_Tables_number 123
_symmetry_space_group_name_Hall '-P 4 2'
loop_
_atom_site_label
_atom_site_type_symbol
_atom_site_fract_x
_atom_site_fract_y
_atom_site_fract_z
_atom_site_occupancy
Nb1 Nb 0.0000 0.0000 0.0000 1
H1 H 0.5000 0.5000 0.5000 1
N1 N 0.0000 0.0000 0.5000 1
F1 F 0.0000 0.5000 0.0000 1
```



Which one sits at the bottom of the stability order? a) does.